The following is a GGA-PBE calculation of an optimized crystal structure of CePrDy2P4, from Alexandria via LeMat-Bulk.

Summary:
formation energy from the elements: -1.56 eV/atom
symmetry: P2/m, No. 10
Fermi-level density of states: 5.725 states/eV/cell

Cell lengths 4.077, 7.046, 7.064 Å; angles 70.58, 90.00, 90.00 degrees
Site moments in Bohr magnetons follow the coordinates.
Positions (direct):
Ce  0.000  0.500  0.500  0.42
Pr  0.500  0.500  0.000  0.01
Dy  0.000  0.000  0.000  0.01
Dy  0.500  0.000  0.500  0.00
P  0.000  0.758  0.742  -0.01
P  0.000  0.242  0.258  -0.01
P  0.500  0.756  0.252  -0.01
P  0.500  0.244  0.748  -0.01